Nd12Ru3C5: relaxed, GGA-PBE.

The total DFT energy (no corrections) comes out at -6.52 eV per atom.

The space group is Ia-3d (No. 230) and the conventional cell measures 15.934, 15.934 and 15.934 Å, with angles of 90.00, 90.00 and 90.00 degrees. The asymmetric unit holds Nd at (0.025, 0.055, 0.653), Ru at (0.000, 0.250, 0.125), C at (0.000, 0.000, 0.000) and C at (0.000, 0.250, 0.375).